Entry 1:
The following is a DFT calculation (PBE) of a geometry-optimized SrTa2BAu structure.

The space group is P4/mmm (No. 123) and the conventional cell measures 5.070, 5.070 and 5.214 Å, with angles of 90.00, 90.00 and 90.00 degrees. The inequivalent atoms are Sr at (0.000, 0.000, 0.000), Ta at (0.000, 0.500, 0.000), B at (0.500, 0.500, 0.500) and Au at (0.000, 0.000, 0.500).

Its volume is 26.8 A^3/atom. Its total energy is -17.9 eV per formula unit. As for the formation energy: 1679 kJ/mol of formula units. For the density, the calculation gives 8143 kg/m³.



Entry 2:
The following is a DFT calculation (PBE) of a geometry-optimized MgIrS2N structure.

The space group is P4/mmm (No. 123) and the conventional cell measures 4.653, 4.653 and 3.765 Å, with angles of 90.00, 90.00 and 90.00 degrees. The inequivalent atoms are Mg at (0.000, 0.000, 0.000), Ir at (0.500, 0.500, 0.500), S at (0.000, 0.500, 0.000) and N at (0.000, 0.000, 0.500).

Its energy above the most stable polymorph in this dataset is 1.304 eV per atom. Its volume is 16.3 A^3/atom. Its total energy is -20.2 eV per formula unit. For the density, the calculation gives 6003 kg/m³.



Entry 3:
The following is a DFT calculation (PBE) of a geometry-optimized ThMn5P3 structure.

The space group is Cmcm (No. 63) and the conventional cell measures 3.751, 11.814 and 11.175 Å, with angles of 90.00, 90.00 and 90.00 degrees. The inequivalent atoms are Th at (0.000, 0.166, 0.250), Mn at (0.000, 0.000, 0.000), Mn at (0.000, 0.193, 0.561), Mn at (0.000, 0.449, 0.150), P at (0.000, 0.116, 0.750) and P at (0.000, 0.380, 0.544).

Its volume is 13.8 A^3/atom. Its total energy is -75.6 eV per formula unit. As for the formation energy: -591 kJ/mol of formula units. For the density, the calculation gives 8043 kg/m³.



Question: Which of these has the lowest density?
Answer: MgIrS2N